[1]
19
Lattice="-2.1332 -2.2526 8.2177 2.7048 -7.5579 -3.5662 7.4292 4.5811 0.9877" Properties=species:S:1:pos:R:3 comment="GGA-PBE PmEr12In6, relaxed" crystal_system=trigonal ef_ev_per_atom=-0.038 mass_density_g_cm3=7.7 sg="R-3m (166)" pbc="T T T"
In 5.3391 0.8257 1.8203
In 0.9664 -2.2993 5.1264
In 2.6618 -6.0550 3.8189
In 7.0345 -2.9301 0.5127
In 4.8222 -0.5041 5.9013
In 3.1787 -4.7253 -0.2621
Er 5.8210 -4.6110 -1.6147
Er 5.7782 1.9532 4.5332
Er 6.4148 -1.6854 3.3924
Er 7.5988 -0.0431 0.0989
Er 4.1268 -1.7283 0.3257
Er 5.1596 -4.9107 2.1825
Er 2.2227 -7.1826 1.1060
Er 1.5861 -3.5440 2.2467
Er 2.1799 -0.6183 7.2539
Er 2.8413 -0.3187 3.4567
Er 3.8741 -3.5011 5.3134
Er 0.4021 -5.1862 5.5402
Pm 0.0000 0.0000 0.0000

---

[2]
16
Lattice="-1.8539 4.3969 -1.2873 -3.0793 -0.1676 3.8622 13.7416 9.1175 11.3520" Properties=species:S:1:pos:R:3 comment="GGA-PBE Pm3Er12In, relaxed" crystal_system=tetragonal ef_ev_per_atom=-0.039 mass_density_g_cm3=8.7 sg="P4/mmm (123)" pbc="T T T"
Pm 6.8708 4.5588 5.6760
Pm 3.4110 2.2632 2.8178
Pm 10.3306 6.8544 8.5342
Er 0.7193 3.2907 0.7163
Er 4.4042 6.6734 6.9634
Er -2.4666 2.1147 1.2874
Er 3.5886 3.3188 6.1676
Er 11.1684 10.2237 9.3484
Er 0.8755 4.3321 4.0483
Er 10.5557 7.9415 11.9231
Er 7.9329 9.0147 9.8785
Er 4.2013 5.6010 3.5928
Er 7.6864 7.9134 6.4718
Er 0.1066 1.0085 3.2910
Er 7.0737 5.6311 9.0466
In 0.0000 0.0000 0.0000

---

[3]
11
Lattice="-4.6613 3.8842 1.2907 -2.8923 0.1090 9.6303 1.1706 5.3911 8.4074" Properties=species:S:1:pos:R:3 comment="GGA-PBE Pm8ErIn2, relaxed" crystal_system=monoclinic ef_ev_per_atom=-0.083 mass_density_g_cm3=7.3 sg="C2/m (12)" pbc="T T T"
Pm -3.7480 7.9380 12.8222
Pm -1.6631 1.9336 2.8264
Pm -2.6349 1.4464 6.5063
Pm -5.6991 5.4015 13.4094
Pm -4.3051 5.6270 10.0022
Pm -0.6838 3.9829 5.9191
Pm -2.0778 3.7573 9.3262
Pm -4.7198 7.4508 16.5020
In -2.3161 4.6905 12.5651
In -4.0668 4.6939 6.7634
Er 0.0000 0.0000 0.0000

---

[4]
14
Lattice="5.0219 0.0000 0.0000 0.0000 9.2349 0.0000 0.0000 0.0000 9.2349" Properties=species:S:1:pos:R:3 comment="GGA-PBE PmEr4In2, relaxed" crystal_system=tetragonal ef_ev_per_atom=-0.167 mass_density_g_cm3=8.1 sg="P4_2/mnm (136)" pbc="T T T"
Er 2.5109 3.5992 7.9382
Er 2.5109 5.6356 1.2966
Er 0.0000 3.3208 1.0182
Er 0.0000 8.2167 5.9141
Er 2.5109 1.2966 5.6356
Er 0.0000 1.0182 3.3208
Er 0.0000 5.9141 8.2167
Er 2.5109 7.9382 3.5992
In 2.5109 2.8713 2.8713
In 2.5109 6.3636 6.3636
In 0.0000 7.4887 1.7461
In 0.0000 1.7461 7.4887
Pm 2.5109 0.0000 0.0000
Pm 0.0000 4.6174 4.6174

---

[5]
10
Lattice="5.7891 0.0000 0.0000 2.8946 7.5541 0.0000 2.8946 0.0000 7.5541" Properties=species:S:1:pos:R:3 comment="GGA-PBE Pm4Er5In, relaxed" crystal_system=tetragonal ef_ev_per_atom=0.081 mass_density_g_cm3=7.7 sg="I4mm (107)" pbc="T T T"
Pm 5.5434 2.3553 5.1994
Pm 8.4380 5.1994 5.1988
Pm 2.6489 2.3547 2.3553
Pm 5.5434 5.1988 2.3547
Er 5.5383 0.0006 2.7854
Er 2.6438 4.7687 0.0006
Er 5.5383 7.5535 4.7687
Er 3.8722 0.0000 0.0000
Er 8.4329 2.7854 7.5535
In 1.0679 0.0000 0.0000

---

[6]
3
Lattice="3.5792 0.0000 0.0000 0.0000 3.5792 0.0000 -1.7896 -1.7896 6.9000" Properties=species:S:1:pos:R:3 comment="GGA-PBE PmErIn, relaxed" crystal_system=tetragonal ef_ev_per_atom=-0.300 mass_density_g_cm3=8.0 sg="I4mm (107)" pbc="T T T"
In 1.7896 1.7896 1.6675
Pm 1.7896 1.7896 6.3448
Er 0.0000 0.0000 3.7177

---

[7]
20
Lattice="-1.6228 3.5330 -3.0779 -2.6078 -3.3872 -2.5131 -19.8184 4.0538 15.1019" Properties=species:S:1:pos:R:3 comment="GGA-PBE Pm15ErIn4, relaxed" crystal_system=tetragonal ef_ev_per_atom=-0.211 mass_density_g_cm3=7.5 sg="P4/mmm (123)" pbc="T T T"
In -11.8595 2.4258 9.0371
In -15.7474 3.2211 11.9998
In -7.9589 1.6280 6.0648
In -4.0709 0.8327 3.1021
Pm -6.8120 2.9939 3.0336
Pm -11.2131 0.3333 6.2944
Pm -10.0722 1.7005 3.2678
Pm -15.1217 1.1328 9.2728
Pm -6.1578 0.8998 0.2850
Pm -14.6291 4.5929 8.9904
Pm -18.5552 5.3959 11.9821
Pm -2.1153 0.0729 -2.7955
Pm -19.0477 1.9358 12.2646
Pm -10.7206 3.7934 6.0120
Pm -7.3045 -0.4662 3.3161
Pm -2.8859 2.1908 0.0419
Pm -17.8912 3.2998 9.2260
Pm -13.9768 2.4991 6.2432
Pm -3.3785 -1.2693 0.3243
Er 0.0000 0.0000 0.0000

---

[8]
8
Lattice="-4.6437 0.2117 2.8799 -1.0867 -3.8553 3.7228 2.2783 3.7725 8.5880" Properties=species:S:1:pos:R:3 comment="GGA-PBE Pm4ErIn3, relaxed" crystal_system=trigonal ef_ev_per_atom=-0.330 mass_density_g_cm3=7.7 sg="R-3m (166)" pbc="T T T"
Pm -0.2441 1.8289 9.8552
Pm 0.6397 1.8214 6.0892
Pm -3.2080 -1.7000 5.3355
Pm -4.0918 -1.6925 9.1016
Er 0.0000 0.0000 0.0000
In -0.9796 -0.1065 3.6200
In -2.4725 0.2355 11.5708
In -1.7260 0.0645 7.5954

---

[9]
12
Lattice="-4.5627 -1.3090 -1.7874 1.0029 -4.4479 7.8919 -0.1792 9.0552 1.0204" Properties=species:S:1:pos:R:3 comment="GGA-PBE Pm5ErIn6, relaxed" crystal_system=orthorhombic ef_ev_per_atom=-0.484 mass_density_g_cm3=7.8 sg="Immm (71)" pbc="T T T"
In -1.1194 3.0392 0.6343
In -0.5393 3.1437 6.2706
In -3.1997 0.1547 0.8543
In -3.0087 4.7032 4.2291
In -0.7304 -1.4048 2.8958
In -2.6197 0.2592 6.4906
Pm -1.4768 -2.8372 5.8455
Pm -1.8695 1.6492 3.5625
Pm -4.3467 3.2311 1.5307
Pm -2.2623 6.1356 1.2794
Pm 0.6076 0.0673 5.5942
Er 0.0000 0.0000 0.0000

---

[10]
12
Lattice="-5.0135 -2.1542 1.3604 1.4675 -7.5031 5.1507 -2.1264 2.1089 7.1272" Properties=species:S:1:pos:R:3 comment="GGA-PBE PmEr7In4, relaxed" crystal_system=monoclinic ef_ev_per_atom=-0.085 mass_density_g_cm3=8.4 sg="C2/m (12)" pbc="T T T"
Er -2.1068 -3.8993 9.3095
Er -0.0063 -4.0959 5.1149
Er -3.8310 -7.1122 9.4913
Er -1.8414 -0.4362 4.1471
Er -5.6661 -3.4525 8.5235
Er -3.5657 -3.6491 4.3289
Er -2.5067 -1.0771 0.6802
Pm 0.0000 0.0000 0.0000
In -3.8201 -1.6636 6.5353
In -1.1693 -3.1263 2.3642
In -4.5031 -4.4221 11.2741
In -1.8523 -5.8848 7.1031